(1)
! NaTm3Co GGA-PBE optimized geometry; values from VASP
! **SG**: Pm-3m, No. 221
! **Calculated total energy**: -21.9 eV per formula unit
! **E_form**: -0.003 eV per atom
&SYSTEM
  ibrav = 0, nat = 5, ntyp = 3
/
ATOMIC_SPECIES
Na 22.99 Na.upf
Tm 168.93 Tm.upf
Co 58.93 Co.upf
CELL_PARAMETERS angstrom
5.2208 0.0000 0.0000
0.0000 5.2208 0.0000
0.0000 0.0000 5.2208
ATOMIC_POSITIONS crystal
Na 0.0000 0.0000 0.0000
Tm 0.0000 0.5000 0.5000
Tm 0.5000 0.0000 0.5000
Tm 0.5000 0.5000 0.0000
Co 0.5000 0.5000 0.5000

(2)
! TiAlGaAs2 GGA-PBE optimized geometry; values from VASP
! **SG**: P4/mmm, No. 123
! **Calculated total energy**: -20.2 eV per formula unit
! **E_form**: 0.755 eV per atom
&SYSTEM
  ibrav = 0, nat = 5, ntyp = 4
/
ATOMIC_SPECIES
Ti 47.87 Ti.upf
Al 26.98 Al.upf
Ga 69.72 Ga.upf
As 74.92 As.upf
CELL_PARAMETERS angstrom
4.8325 0.0000 0.0000
0.0000 4.8325 0.0000
0.0000 0.0000 4.9298
ATOMIC_POSITIONS crystal
Ti 0.0000 0.0000 0.0000
Al 0.5000 0.5000 0.0000
Ga 0.0000 0.0000 0.5000
As 0.0000 0.5000 0.5000
As 0.5000 0.0000 0.5000

(3)
! TlAg3Au6 GGA-PBE optimized geometry; values from VASP
! **SG**: P2_1/m, No. 11
! **Calculated total energy**: -30.5 eV per formula unit
! **E_form**: 0.009 eV per atom
&SYSTEM
  ibrav = 0, nat = 20, ntyp = 3
/
ATOMIC_SPECIES
Tl 204.38 Tl.upf
Ag 107.87 Ag.upf
Au 196.97 Au.upf
CELL_PARAMETERS angstrom
9.3577 0.0000 0.0000
0.0000 4.2047 0.0000
-0.0109 0.0000 9.5844
ATOMIC_POSITIONS crystal
Tl 0.1131 0.2500 0.0585
Tl 0.8869 0.7500 0.9415
Ag 0.1026 0.7500 0.5510
Ag 0.3024 0.2500 0.6516
Ag 0.5004 0.2500 0.2541
Ag 0.4996 0.7500 0.7459
Ag 0.6976 0.7500 0.3484
Ag 0.8974 0.2500 0.4490
Au 0.0010 0.2500 0.7339
Au 0.2041 0.2500 0.3638
Au 0.2075 0.7500 0.8398
Au 0.3081 0.7500 0.1640
Au 0.4028 0.7500 0.4546
Au 0.4076 0.2500 0.9469
Au 0.5924 0.7500 0.0531
Au 0.5972 0.2500 0.5454
Au 0.6919 0.2500 0.8360
Au 0.7925 0.2500 0.1602
Au 0.7959 0.7500 0.6362
Au 0.9990 0.7500 0.2661

(4)
! Rb2TmI5 GGA-PBE optimized geometry; values from VASP
! **Energy relative to the elements, uncorrected**: -1420 meV per atom
! **SG**: Pnma, No. 62
! **Calculated total energy**: -25.5 eV per formula unit
! **Energy relative to the lowest polymorph listed for this composition**: 0.000 eV/atom
&SYSTEM
  ibrav = 0, nat = 32, ntyp = 3
/
ATOMIC_SPECIES
Rb 85.47 Rb.upf
Tm 168.93 Tm.upf
I 126.90 I.upf
CELL_PARAMETERS angstrom
14.7667 0.0000 0.0000
0.0000 9.8534 0.0000
0.0000 0.0000 9.5967
ATOMIC_POSITIONS crystal
Rb 0.1687 0.0121 0.0944
Rb 0.1687 0.4879 0.0944
Rb 0.3313 0.5121 0.5944
Rb 0.3313 0.9879 0.5944
Rb 0.6687 0.0121 0.4056
Rb 0.6687 0.4879 0.4056
Rb 0.8313 0.5121 0.9056
Rb 0.8313 0.9879 0.9056
Tm 0.0058 0.2500 0.5744
Tm 0.4942 0.7500 0.0744
Tm 0.5058 0.2500 0.9256
Tm 0.9942 0.7500 0.4256
I 0.0151 0.2500 0.9024
I 0.0549 0.5497 0.6676
I 0.0549 0.9503 0.6676
I 0.1866 0.2500 0.4216
I 0.1952 0.7500 0.3671
I 0.3048 0.2500 0.8671
I 0.3134 0.7500 0.9216
I 0.4451 0.0497 0.1676
I 0.4451 0.4503 0.1676
I 0.4849 0.7500 0.4024
I 0.5151 0.2500 0.5976
I 0.5549 0.5497 0.8324
I 0.5549 0.9503 0.8324
I 0.6866 0.2500 0.0784
I 0.6952 0.7500 0.1329
I 0.8048 0.2500 0.6329
I 0.8134 0.7500 0.5784
I 0.9451 0.0497 0.3324
I 0.9451 0.4503 0.3324
I 0.9849 0.7500 0.0976

> calculated total energy of number 2 (TiAlGaAs2)?

-20.2 eV per formula unit

Repeat the fourth record exactly.
! Rb2TmI5 GGA-PBE optimized geometry; values from VASP
! **Energy relative to the elements, uncorrected**: -1420 meV per atom
! **SG**: Pnma, No. 62
! **Calculated total energy**: -25.5 eV per formula unit
! **Energy relative to the lowest polymorph listed for this composition**: 0.000 eV/atom
&SYSTEM
  ibrav = 0, nat = 32, ntyp = 3
/
ATOMIC_SPECIES
Rb 85.47 Rb.upf
Tm 168.93 Tm.upf
I 126.90 I.upf
CELL_PARAMETERS angstrom
14.7667 0.0000 0.0000
0.0000 9.8534 0.0000
0.0000 0.0000 9.5967
ATOMIC_POSITIONS crystal
Rb 0.1687 0.0121 0.0944
Rb 0.1687 0.4879 0.0944
Rb 0.3313 0.5121 0.5944
Rb 0.3313 0.9879 0.5944
Rb 0.6687 0.0121 0.4056
Rb 0.6687 0.4879 0.4056
Rb 0.8313 0.5121 0.9056
Rb 0.8313 0.9879 0.9056
Tm 0.0058 0.2500 0.5744
Tm 0.4942 0.7500 0.0744
Tm 0.5058 0.2500 0.9256
Tm 0.9942 0.7500 0.4256
I 0.0151 0.2500 0.9024
I 0.0549 0.5497 0.6676
I 0.0549 0.9503 0.6676
I 0.1866 0.2500 0.4216
I 0.1952 0.7500 0.3671
I 0.3048 0.2500 0.8671
I 0.3134 0.7500 0.9216
I 0.4451 0.0497 0.1676
I 0.4451 0.4503 0.1676
I 0.4849 0.7500 0.4024
I 0.5151 0.2500 0.5976
I 0.5549 0.5497 0.8324
I 0.5549 0.9503 0.8324
I 0.6866 0.2500 0.0784
I 0.6952 0.7500 0.1329
I 0.8048 0.2500 0.6329
I 0.8134 0.7500 0.5784
I 0.9451 0.0497 0.3324
I 0.9451 0.4503 0.3324
I 0.9849 0.7500 0.0976

> calculated total energy of number 4 (Rb2TmI5)?

-25.5 eV per formula unit